Compound: Tb3YCd
Source: Alexandria
Functional: PBE
Structure: relaxed

Structure (POSCAR):
```
Tb3YCd
1.0
-2.639 4.002 1.183
-2.666 -3.588 -4.115
-6.445 -6.263 6.807
Cd Tb Y
2 6 2
Direct
0.713 0.427 0.070
0.287 0.573 0.930
0.860 0.720 0.449
0.705 0.410 0.765
0.140 0.280 0.551
0.295 0.590 0.235
0.023 0.045 0.141
0.977 0.955 0.859
0.426 0.851 0.652
0.574 0.149 0.348
```

energy above the most stable polymorph in this dataset: 85.0 meV per atom
space group: C2/m


Compound: Na3BO4
Source: Alexandria
Functional: PBE
Structure: relaxed

Structure (POSCAR):
```
Na3BO4
1.0
-0.433 -4.928 -0.729
1.490 0.570 -4.739
3.522 1.645 3.944
Na O B
3 4 1
Direct
0.250 0.750 0.500
0.500 0.500 0.000
0.750 0.250 0.500
0.916 0.916 0.183
0.267 0.267 0.183
0.084 0.733 0.817
0.733 0.084 0.817
0.000 0.000 0.000
```

formation energy from raw total energies: -12.1 eV/f.u.
space group: I-42m


Compound: Cs4NaCa3Br12
Source: Alexandria
Functional: PBE
Structure: relaxed

Structure (POSCAR):
```
Cs4NaCa3Br12
1.0
10.007 0.000 0.000
-3.336 9.435 0.000
-3.336 -4.717 8.171
Ca Br Na Cs
3 12 1 4
Direct
0.500 0.500 0.000
0.500 0.000 0.500
0.000 0.500 0.500
0.250 0.500 0.750
0.000 0.747 0.747
0.253 0.253 0.000
0.747 0.747 0.000
0.750 0.500 0.250
0.500 0.750 0.250
0.747 0.000 0.747
0.250 0.750 0.500
0.000 0.253 0.253
0.253 0.000 0.253
0.500 0.250 0.750
0.750 0.250 0.500
0.000 0.000 0.000
0.500 0.000 0.000
0.500 0.500 0.500
0.000 0.000 0.500
0.000 0.500 0.000
```

formation energy from raw total energies: -35.6 eV/f.u.
space group: Im-3m


Compound: Sb7Os6
Source: Alexandria
Functional: PBE
Structure: relaxed

Structure (POSCAR):
```
Sb7Os6
1.0
-2.481 -5.053 5.972
4.375 -3.092 6.217
-0.731 1.553 8.025
Sb Os
7 6
Direct
0.595 0.595 0.039
0.500 0.500 0.500
0.039 0.595 0.595
0.961 0.405 0.405
0.405 0.405 0.961
0.405 0.961 0.405
0.595 0.039 0.595
0.056 0.056 0.056
0.351 0.351 0.351
0.944 0.944 0.944
0.831 0.831 0.831
0.649 0.649 0.649
0.169 0.169 0.169
```

formation energy from raw total energies: 17.0 eV/f.u.
space group: R-3m


Compound: Ti2In2Pd
Source: Alexandria
Functional: PBE
Structure: relaxed

Structure (POSCAR):
```
Ti2In2Pd
1.0
3.963 0.000 0.000
0.000 3.963 0.000
1.981 1.981 6.578
In Pd Ti
2 1 2
Direct
0.250 0.750 0.500
0.750 0.250 0.500
0.000 0.000 0.000
0.422 0.422 0.156
0.578 0.578 0.844
```

energy above the most stable polymorph in this dataset: 528.4 meV per atom
space group: I4/mmm


Compound: YSc2
Source: Alexandria
Functional: PBE
Structure: relaxed

Structure (POSCAR):
```
YSc2
1.0
-1.859 -2.282 1.667
3.676 -2.959 0.048
0.621 4.592 3.545
Sc Y
2 1
Direct
0.671 0.671 0.341
0.329 0.329 0.659
0.000 0.000 0.000
```

energy above the most stable polymorph in this dataset: 41.6 meV per atom
space group: Immm


Compound: La2AgSbN
Source: Alexandria
Functional: PBE
Structure: relaxed

Structure (POSCAR):
```
La2AgSbN
1.0
5.117 0.000 0.000
0.000 5.117 0.000
0.000 0.000 4.534
Ag La N Sb
1 2 1 1
Direct
0.000 0.000 0.500
0.500 0.000 0.000
0.000 0.500 0.000
0.000 0.000 0.000
0.500 0.500 0.500
```

formation energy from raw total energies: -4.3 eV/f.u.
space group: P4/mmm


Compound: NaAcTlAg
Source: Alexandria
Functional: PBE
Structure: relaxed

Structure (POSCAR):
```
NaAcTlAg
1.0
5.504 0.000 0.000
2.752 4.766 0.000
2.752 1.589 4.494
Ac Ag Tl Na
1 1 1 1
Direct
0.000 0.000 0.000
0.250 0.250 0.250
0.750 0.750 0.750
0.500 0.500 0.500
```

space group: F-43m


Compound: Ce3Hg5
Source: Alexandria
Functional: PBE
Structure: relaxed

Structure (POSCAR):
```
Ce3Hg5
1.0
5.315 0.000 0.000
0.000 6.604 -0.226
0.000 -2.038 6.286
Ce Hg
3 5
Direct
0.500 0.789 0.211
0.500 0.211 0.789
0.000 0.500 0.500
0.500 0.287 0.287
0.000 0.000 0.000
0.000 0.000 0.500
0.000 0.500 0.000
0.500 0.713 0.713
```

energy above the most stable polymorph in this dataset: 0.0 meV per atom
space group: Cmmm


Compound: ZnGa8Tc2
Source: Alexandria
Functional: PBE
Structure: relaxed

Structure (POSCAR):
```
ZnGa8Tc2
1.0
5.051 -0.431 -0.327
-0.519 6.655 0.836
-0.519 2.597 6.184
Ga Tc Zn
8 2 1
Direct
0.398 0.379 0.815
0.177 0.794 0.794
0.823 0.206 0.206
0.602 0.185 0.621
0.851 0.582 0.582
0.149 0.418 0.418
0.602 0.621 0.185
0.398 0.815 0.379
0.667 0.775 0.775
0.333 0.225 0.225
0.000 0.000 0.000
```

space group: C2/m


Compound: Al2Zn2Cu15
Source: Alexandria
Functional: PBE
Structure: relaxed

Structure (POSCAR):
```
Al2Zn2Cu15
1.0
-1.259 -0.937 -6.211
5.453 -2.923 -1.662
-2.018 -6.071 0.327
Cu Al Zn
15 2 2
Direct
0.667 0.333 0.000
0.333 0.667 0.000
0.000 0.000 0.500
0.337 0.828 0.337
0.663 0.172 0.663
0.828 0.337 0.337
0.337 0.337 0.828
0.667 0.000 0.333
0.172 0.663 0.663
0.663 0.663 0.172
0.000 0.667 0.333
0.000 0.333 0.667
0.333 0.000 0.667
0.000 0.500 0.000
0.500 0.000 0.000
0.621 0.621 0.621
0.379 0.379 0.379
0.104 0.104 0.104
0.896 0.896 0.896
```

space group: R-3m


Compound: La9AlIn2
Source: Alexandria
Functional: PBE
Structure: relaxed

Structure (POSCAR):
```
La9AlIn2
1.0
-3.495 0.377 3.601
3.543 -0.676 3.510
2.239 14.910 0.612
La Al In
9 1 2
Direct
0.500 0.500 0.330
0.000 0.500 0.161
0.000 0.500 0.839
0.500 0.500 0.000
0.500 0.500 0.670
0.000 0.500 0.500
0.500 0.000 0.839
0.500 0.000 0.500
0.500 0.000 0.161
0.000 0.000 0.000
0.000 0.000 0.332
0.000 0.000 0.668
```

space group: P4/mmm


no.,total energy (eV per atom)
1,-4.28
2,-5.32
3,-3.32
4,-6.09
5,-4.95
6,-6.31
7,-5.88
8,-2.84
9,-2.71
10,-4.20
11,-3.72
12,-4.73